The following is a GGA-PBE calculation of a relaxed structure of PmPrEuHg, from the Alexandria database.

Cell lengths 5.6241, 5.6241, 5.6241 Å; angles 60.00, 60.00, 60.00 degrees
Closest atoms and distances in Å follow each position.
Fractional positions:
Pm (0.0000, 0.0000, 0.0000)  4 Pr 3.44, 4 Eu 3.44
Pr (0.7500, 0.7500, 0.7500)  4 Hg 3.44, 4 Pm 3.44
Eu (0.2500, 0.2500, 0.2500)  4 Hg 3.44, 4 Pm 3.44
Hg (0.5000, 0.5000, 0.5000)  4 Pr 3.44, 4 Eu 3.44

Properties
The calculation puts the formation energy from the elements at -0.03 eV/atom. Its crystal system is cubic. The value obtained for the total energy is -5.05 eV/atom. The value obtained for the density of states at the Fermi level is 1.5583 states/eV/atom.

The following is a GGA-PBE calculation of a relaxed structure of Ac2AlSnO6, from the Alexandria database.

Cell lengths 5.7302, 8.1706, 5.9192 Å; angles 90.00, 90.00, 90.00 degrees
Closest atoms and distances in Å follow each position.
Fractional positions:
Ac (0.2500, 0.0095, 0.2269)  9 O 2.62-2.87
Ac (0.2500, 0.4905, 0.2269)  9 O 2.62-2.87
Ac (0.7500, 0.5095, 0.7731)  9 O 2.62-2.87
Ac (0.7500, 0.9905, 0.7731)  9 O 2.62-2.87
Al (0.2500, 0.7500, 0.7617)  6 O 1.89-1.96
Al (0.7500, 0.2500, 0.2383)  6 O 1.89-1.96
Sn (0.2500, 0.2500, 0.7304)  6 O 2.20
Sn (0.7500, 0.7500, 0.2696)  6 O 2.20
O (0.0075, 0.7500, 0.5442)  1 Al 1.89
O (0.0098, 0.7500, 0.9968)  1 Al 1.96
O (0.2500, 0.5160, 0.7862)  1 Al 1.92
O (0.2500, 0.9840, 0.7862)  1 Al 1.92
O (0.4902, 0.7500, 0.9968)  1 Al 1.96
O (0.4925, 0.7500, 0.5442)  1 Al 1.89
O (0.5075, 0.2500, 0.4558)  1 Al 1.89
O (0.5098, 0.2500, 0.0032)  1 Al 1.96
O (0.7500, 0.0160, 0.2138)  1 Al 1.92
O (0.7500, 0.4840, 0.2138)  1 Al 1.92
O (0.9902, 0.2500, 0.0032)  1 Al 1.96
O (0.9925, 0.2500, 0.4558)  1 Al 1.89

Properties
Its crystal system is orthorhombic. The value obtained for the total energy is -7.21 eV/atom. The value obtained for the density of states at the Fermi level is 0.2054 states/eV/atom. The uncorrected formation energy is -2.64 eV/atom.

The following is a GGA-PBE calculation of a relaxed structure of Ba17Er16Zn8Pt4O57, from the Alexandria database.

Cell lengths 16.5355, 16.5355, 16.5355 Å; angles 91.73, 91.73, 160.01 degrees
Closest atoms and distances in Å follow each position.
Fractional positions:
Ba (0.0000, 0.0000, 0.0000)  10 O 2.87-2.93
Ba (0.0682, 0.4422, 0.5104)  6 O 2.74-2.87
Ba (0.1121, 0.2764, 0.3884)  8 O 2.85-2.99
Ba (0.1890, 0.7324, 0.9214)  6 O 2.62-2.89
Ba (0.2676, 0.1890, 0.4565)  6 O 2.62-2.89
Ba (0.2764, 0.8879, 0.1643)  8 O 2.85-2.99
Ba (0.3424, 0.6488, 0.9912)  6 O 2.72-2.91
Ba (0.3512, 0.3424, 0.6936)  6 O 2.72-2.91
Ba (0.4422, 0.9318, 0.3740)  6 O 2.74-2.87
Ba (0.5578, 0.0682, 0.6260)  6 O 2.74-2.87
Ba (0.6488, 0.6576, 0.3064)  6 O 2.72-2.91
Ba (0.6576, 0.3512, 0.0088)  6 O 2.72-2.91
Ba (0.7236, 0.1121, 0.8357)  8 O 2.85-2.99
Ba (0.7324, 0.8110, 0.5435)  6 O 2.62-2.89
Ba (0.8110, 0.2676, 0.0786)  6 O 2.62-2.89
Ba (0.8879, 0.7236, 0.6116)  8 O 2.85-2.99
Ba (0.9318, 0.5578, 0.4896)  6 O 2.74-2.87
Er (0.0494, 0.6745, 0.7239)  6 O 2.22-2.35
Er (0.0522, 0.8284, 0.8805)  7 O 2.29-2.47
Er (0.1716, 0.0522, 0.2238)  7 O 2.29-2.47
Er (0.2511, 0.5064, 0.7575)  7 O 2.27-2.39
Er (0.3255, 0.0494, 0.3749)  6 O 2.22-2.35
Er (0.4007, 0.5112, 0.9119)  7 O 2.27-2.43
Er (0.4888, 0.4007, 0.8895)  7 O 2.27-2.43
Er (0.4936, 0.2511, 0.7448)  7 O 2.27-2.39
Er (0.5064, 0.7489, 0.2552)  7 O 2.27-2.39
Er (0.5112, 0.5993, 0.1105)  7 O 2.27-2.43
Er (0.5993, 0.4888, 0.0881)  7 O 2.27-2.43
Er (0.6745, 0.9506, 0.6251)  6 O 2.22-2.35
Er (0.7489, 0.4936, 0.2425)  7 O 2.27-2.39
Er (0.8284, 0.9478, 0.7762)  7 O 2.29-2.47
Er (0.9478, 0.1716, 0.1195)  7 O 2.29-2.47
Er (0.9506, 0.3255, 0.2761)  6 O 2.22-2.35
Zn (0.0752, 0.1329, 0.2082)  5 O 1.98-2.15
Zn (0.1329, 0.9248, 0.0577)  5 O 1.98-2.15
Zn (0.2129, 0.3797, 0.5926)  5 O 1.96-2.16
Zn (0.3797, 0.7871, 0.1668)  5 O 1.96-2.16
Zn (0.6203, 0.2129, 0.8332)  5 O 1.96-2.16
Zn (0.7871, 0.6203, 0.4074)  5 O 1.96-2.16
Zn (0.8671, 0.0752, 0.9423)  5 O 1.98-2.15
Zn (0.9248, 0.8671, 0.7918)  5 O 1.98-2.15
Pt (0.1443, 0.5829, 0.7272)  6 O 2.05-2.11
Pt (0.4171, 0.1443, 0.5615)  6 O 2.05-2.11
Pt (0.5829, 0.8557, 0.4385)  6 O 2.05-2.11
Pt (0.8557, 0.4171, 0.2728)  6 O 2.05-2.11
O (0.0002, 0.1765, 0.6820)  1 Zn 2.06, 2 Er 2.29-2.30
O (0.9998, 0.8235, 0.3180)  1 Zn 2.06, 2 Er 2.29-2.30
O (0.0546, 0.5651, 0.6197)  1 Pt 2.11
O (0.0738, 0.7200, 0.3102)  1 Pt 2.05, 1 Er 2.22
O (0.0749, 0.2773, 0.8518)  1 Zn 2.06, 2 Er 2.27-2.29
O (0.1121, 0.8796, 0.4782)  1 Pt 2.05, 1 Zn 2.16, 1 Er 2.30
O (0.1204, 0.5987, 0.2326)  1 Pt 2.05, 1 Zn 2.16, 1 Er 2.30
O (0.1575, 0.1585, 0.3160)  1 Zn 1.98
O (0.1585, 0.8425, 0.0010)  1 Zn 1.98
O (0.1618, 0.1864, 0.8456)  1 Zn 2.15, 2 Er 2.27-2.40
O (0.1765, 0.4946, 0.1763)  1 Zn 2.06, 2 Er 2.29-2.30
O (0.1864, 0.3408, 0.0246)  1 Zn 2.15, 2 Er 2.27-2.40
O (0.2230, 0.0749, 0.7976)  1 Zn 2.06, 2 Er 2.27-2.29
O (0.2317, 0.6074, 0.8391)  1 Pt 2.09
O (0.2364, 0.9262, 0.6462)  1 Pt 2.05, 1 Er 2.22
O (0.2399, 0.2991, 0.5390)  1 Zn 1.96
O (0.2773, 0.4255, 0.2024)  1 Zn 2.06, 2 Er 2.27-2.29
O (0.2800, 0.5902, 0.3538)  1 Pt 2.05, 1 Er 2.22
O (0.2991, 0.7601, 0.0592)  1 Zn 1.96
O (0.3162, 0.1618, 0.9754)  1 Zn 2.15, 2 Er 2.27-2.40
O (0.3183, 0.0002, 0.8237)  1 Zn 2.06, 2 Er 2.29-2.30
O (0.3408, 0.3162, 0.1544)  1 Zn 2.15, 2 Er 2.27-2.40
O (0.3661, 0.8879, 0.7674)  1 Pt 2.05, 1 Zn 2.16, 1 Er 2.30
O (0.3926, 0.2317, 0.6242)  1 Pt 2.09
O (0.4013, 0.6339, 0.5218)  1 Pt 2.05, 1 Zn 2.16, 1 Er 2.30
O (0.4098, 0.7636, 0.6898)  1 Pt 2.05, 1 Er 2.22
O (0.4255, 0.2230, 0.1482)  1 Zn 2.06, 2 Er 2.27-2.29
O (0.4349, 0.0546, 0.4894)  1 Pt 2.11
O (0.4946, 0.3183, 0.3180)  1 Zn 2.06, 2 Er 2.29-2.30
O (0.5000, 0.5000, 0.0000)  4 Er 2.30
O (0.5054, 0.6817, 0.6820)  1 Zn 2.06, 2 Er 2.29-2.30
O (0.5651, 0.9454, 0.5106)  1 Pt 2.11
O (0.5745, 0.7770, 0.8518)  1 Zn 2.06, 2 Er 2.27-2.29
O (0.5902, 0.2364, 0.3102)  1 Pt 2.05, 1 Er 2.22
O (0.5987, 0.3661, 0.4782)  1 Pt 2.05, 1 Zn 2.16, 1 Er 2.30
O (0.6074, 0.7683, 0.3758)  1 Pt 2.09
O (0.6339, 0.1121, 0.2326)  1 Pt 2.05, 1 Zn 2.16, 1 Er 2.30
O (0.6592, 0.6838, 0.8456)  1 Zn 2.15, 2 Er 2.27-2.40
O (0.6817, 0.9998, 0.1763)  1 Zn 2.06, 2 Er 2.29-2.30
O (0.6838, 0.8382, 0.0246)  1 Zn 2.15, 2 Er 2.27-2.40
O (0.7009, 0.2399, 0.9408)  1 Zn 1.96
O (0.7200, 0.4098, 0.6462)  1 Pt 2.05, 1 Er 2.22
O (0.7227, 0.5745, 0.7976)  1 Zn 2.06, 2 Er 2.27-2.29
O (0.7601, 0.7009, 0.4610)  1 Zn 1.96
O (0.7636, 0.0738, 0.3538)  1 Pt 2.05, 1 Er 2.22
O (0.7683, 0.3926, 0.1609)  1 Pt 2.09
O (0.7770, 0.9251, 0.2024)  1 Zn 2.06, 2 Er 2.27-2.29
O (0.8136, 0.6592, 0.9754)  1 Zn 2.15, 2 Er 2.27-2.40
O (0.8235, 0.5054, 0.8237)  1 Zn 2.06, 2 Er 2.29-2.30
O (0.8382, 0.8136, 0.1544)  1 Zn 2.15, 2 Er 2.27-2.40
O (0.8415, 0.1575, 0.9990)  1 Zn 1.98
O (0.8425, 0.8415, 0.6840)  1 Zn 1.98
O (0.8796, 0.4013, 0.7674)  1 Pt 2.05, 1 Zn 2.16, 1 Er 2.30
O (0.8879, 0.1204, 0.5218)  1 Pt 2.05, 1 Zn 2.16, 1 Er 2.30
O (0.9251, 0.7227, 0.1482)  1 Zn 2.06, 2 Er 2.27-2.29
O (0.9262, 0.2800, 0.6898)  1 Pt 2.05, 1 Er 2.22
O (0.9454, 0.4349, 0.3803)  1 Pt 2.11

Properties
Its crystal system is tetragonal. The value obtained for the total energy is -6.76 eV/atom. The value obtained for the density of states at the Fermi level is 0.0000 states/eV/atom. The uncorrected formation energy is -2.62 eV/atom.

The following is a GGA-PBE calculation of a relaxed structure of RbTiRe2Ni, from the Alexandria database.

Cell lengths 4.6562, 4.6562, 4.4748 Å; angles 90.00, 90.00, 90.00 degrees
Closest atoms and distances in Å follow each position.
Fractional positions:
Rb (0.0000, 0.0000, 0.0000)  2 Ti 2.24, 4 Re 2.33
Ti (0.0000, 0.0000, 0.5000)  2 Rb 2.24
Re (0.0000, 0.5000, 0.0000)  2 Rb 2.33
Re (0.5000, 0.0000, 0.0000)  2 Rb 2.33
Ni (0.5000, 0.5000, 0.5000)  8 Re 3.23, 4 Ti 3.29

Properties
The calculation puts the formation energy from the elements at 3.43 eV/atom. Its crystal system is tetragonal. The value obtained for the total energy is -4.48 eV/atom. The value obtained for the density of states at the Fermi level is 1.2300 states/eV/atom.